(1)
Compound: Ac2MgAg3Ge4
Source: the Alexandria database
Functional: PBE
Structure: relaxed

## Properties
Final energy, eV/atom: -4.12
Theoretical density, g/cm³: 7.918
ΔH_f (0 K), eV per atom: -0.44
D(E_F), states/eV per atom: 0.285

Cell: 4.525 4.525 11.190 Å, 90.00 90.00 90.00°
Fractional positions:
Ac (0.500, 0.000, 0.244)
Ac (0.000, 0.500, 0.756)
Mg (0.500, 0.500, 0.500)
Ag (0.000, 0.000, 0.500)
Ag (0.500, 0.000, 0.872)
Ag (0.000, 0.500, 0.128)
Ge (0.500, 0.500, 0.000)
Ge (0.000, 0.000, 0.000)
Ge (0.500, 0.000, 0.640)
Ge (0.000, 0.500, 0.360)

---

(2)
Compound: AcMgAgGe
Source: the Alexandria database
Functional: PBE
Structure: relaxed

## Properties
Final energy, eV/atom: -3.64
Theoretical density, g/cm³: 7.113
ΔH_f (0 K), eV per atom: -0.35
D(E_F), states/eV per atom: 0.427

Cell: 5.224 5.224 5.224 Å, 60.00 60.00 60.00°
Fractional positions:
Mg (0.500, 0.500, 0.500)
Ac (0.000, 0.000, 0.000)
Ge (0.250, 0.250, 0.250)
Ag (0.750, 0.750, 0.750)

---

(3)
Compound: NaAc2Ag3Ge4
Source: the Alexandria database
Functional: PBE
Structure: relaxed

## Properties
Final energy, eV/atom: -3.99
Theoretical density, g/cm³: 7.710
ΔH_f (0 K), eV per atom: -0.34
D(E_F), states/eV per atom: 0.388

Cell: 4.576 4.576 11.222 Å, 90.00 90.00 90.00°
Fractional positions:
Na (0.500, 0.500, 0.500)
Ac (0.500, 0.000, 0.240)
Ac (0.000, 0.500, 0.760)
Ag (0.000, 0.000, 0.500)
Ag (0.500, 0.000, 0.877)
Ag (0.000, 0.500, 0.123)
Ge (0.500, 0.500, 0.000)
Ge (0.000, 0.000, 0.000)
Ge (0.500, 0.000, 0.647)
Ge (0.000, 0.500, 0.353)

---

(4)
Compound: AcNd2Ag2Ge2
Source: the Alexandria database
Functional: PBE
Structure: relaxed

## Properties
Final energy, eV/atom: -4.52
Theoretical density, g/cm³: 7.931
ΔH_f (0 K), eV per atom: -0.44
D(E_F), states/eV per atom: 0.593

Cell: 4.655 4.655 10.144 Å, 76.74 76.74 60.00°
Fractional positions:
Ac (0.000, 0.000, 0.000)
Nd (0.130, 0.130, 0.611)
Nd (0.870, 0.870, 0.389)
Ag (0.594, 0.594, 0.220)
Ag (0.406, 0.406, 0.780)
Ge (0.744, 0.744, 0.767)
Ge (0.256, 0.256, 0.233)

---

(5)
Compound: AcNdAgGe
Source: the Alexandria database
Functional: PBE
Structure: relaxed

## Properties
Final energy, eV/atom: -4.54
Theoretical density, g/cm³: 8.187
ΔH_f (0 K), eV per atom: -0.45
D(E_F), states/eV per atom: 1.094

Cell: 5.409 5.409 5.409 Å, 60.00 60.00 60.00°
Fractional positions:
Ac (0.000, 0.000, 0.000)
Nd (0.500, 0.500, 0.500)
Ge (0.250, 0.250, 0.250)
Ag (0.750, 0.750, 0.750)

---

(6)
Compound: Ac2Ni4AgGe3
Source: the Alexandria database
Functional: PBE
Structure: relaxed

## Properties
Final energy, eV/atom: -5.30
Theoretical density, g/cm³: 8.987
ΔH_f (0 K), eV per atom: -0.49
D(E_F), states/eV per atom: 0.777

Cell: 4.323 4.323 10.029 Å, 90.00 90.00 90.00°
Fractional positions:
Ac (0.500, 0.000, 0.246)
Ac (0.000, 0.500, 0.754)
Ni (0.500, 0.500, 0.000)
Ni (0.000, 0.000, 0.000)
Ni (0.500, 0.000, 0.641)
Ni (0.000, 0.500, 0.359)
Ag (0.500, 0.500, 0.500)
Ge (0.000, 0.000, 0.500)
Ge (0.500, 0.000, 0.883)
Ge (0.000, 0.500, 0.117)